The following is a DFT calculation (PBE-GGA) of a relaxed structure of SbMoI2.

Cell lengths 7.626, 7.626, 7.626 Å; angles 96.85, 96.85, 139.60 degrees
Fractional positions:
Sb 0.000 0.000 0.000
Sb 0.750 0.250 0.500
Mo 0.250 0.750 0.500
Mo 0.500 0.500 0.000
I 0.267 0.625 0.142
I 0.375 0.517 0.642
I 0.483 0.125 0.858
I 0.875 0.733 0.358

Computed properties:
Excess energy over the best structure of this formula in the dataset: 0 meV per atom
E_form (uncorrected): 0.3409 eV/atom



The following is a DFT calculation (PBE-GGA) of a relaxed structure of RbHo2Cu3S5.

Cell lengths 7.251, 7.251, 16.503 Å; angles 90.00, 90.00, 148.42 degrees
Fractional positions:
Rb 0.065 0.935 0.750
Rb 0.935 0.065 0.250
Ho 0.192 0.808 0.093
Ho 0.192 0.808 0.407
Ho 0.808 0.192 0.593
Ho 0.808 0.192 0.907
Cu 0.345 0.655 0.750
Cu 0.416 0.584 0.036
Cu 0.416 0.584 0.464
Cu 0.584 0.416 0.536
Cu 0.584 0.416 0.964
Cu 0.655 0.345 0.250
S 0.168 0.832 0.570
S 0.168 0.832 0.930
S 0.238 0.762 0.250
S 0.439 0.561 0.613
S 0.439 0.561 0.887
S 0.561 0.439 0.113
S 0.561 0.439 0.387
S 0.762 0.238 0.750
S 0.832 0.168 0.070
S 0.832 0.168 0.430

Computed properties:
E_form (uncorrected): -1.2471 eV/atom



The following is a DFT calculation (PBE-GGA) of a relaxed structure of ZrInBi.

Cell lengths 3.950, 3.950, 10.161 Å; angles 90.10, 90.10, 90.02 degrees
Fractional positions:
Zr 0.250 0.250 0.090
Zr 0.750 0.750 0.910
In 0.250 0.250 0.416
In 0.750 0.750 0.584
Bi 0.250 0.250 0.787
Bi 0.750 0.750 0.213

Computed properties:
DFT formation energy: -0.237 eV per atom



The following is a DFT calculation (PBE-GGA) of a relaxed structure of GdIrS2.

Cell lengths 8.038, 8.038, 8.038 Å; angles 26.47, 26.47, 26.47 degrees
Fractional positions:
Gd 0.000 0.000 0.000
Ir 0.500 0.500 0.500
S 0.118 0.118 0.118
S 0.882 0.882 0.882

Computed properties:
E_form (uncorrected): -0.4836 eV/atom



The following is a DFT calculation (PBE-GGA) of a relaxed structure of HfSi3Cl.

Cell lengths 5.180, 5.180, 5.180 Å; angles 90.00, 90.00, 90.00 degrees
Fractional positions:
Hf 0.000 0.000 0.000
Si 0.000 0.000 0.500
Si 0.000 0.500 0.000
Si 0.500 0.000 0.000
Cl 0.500 0.500 0.500

Computed properties:
Excess energy over the best structure of this formula in the dataset: 0 meV per atom
E_form (uncorrected): 0.8199 eV/atom



The following is a DFT calculation (PBE-GGA) of a relaxed structure of TlCuO2.

Cell lengths 4.058, 4.058, 4.058 Å; angles 60.00, 60.00, 60.00 degrees
Fractional positions:
Tl 0.000 0.000 0.000
Cu 0.500 0.500 0.500
O 0.250 0.250 0.250
O 0.750 0.750 0.750

Computed properties:
Excess energy over the best structure of this formula in the dataset: 533 meV per atom
E_form (uncorrected): -0.0596 eV/atom



The following is a DFT calculation (PBE-GGA) of a relaxed structure of TiZnBr2.

Cell lengths 11.062, 11.062, 11.062 Å; angles 18.02, 18.02, 18.02 degrees
Fractional positions:
Ti 0.000 0.000 0.000
Zn 0.500 0.500 0.500
Br 0.386 0.386 0.386
Br 0.614 0.614 0.614

Computed properties:
Excess energy over the best structure of this formula in the dataset: 0 meV per atom
E_form (uncorrected): -0.5436 eV/atom



The following is a DFT calculation (PBE-GGA) of a relaxed structure of Sc4AgHg.

Cell lengths 5.775, 5.775, 5.775 Å; angles 60.00, 60.00, 60.00 degrees
Fractional positions:
Sc 0.125 0.125 0.125
Sc 0.125 0.125 0.624
Sc 0.125 0.624 0.125
Sc 0.624 0.125 0.125
Ag 0.750 0.750 0.750
Hg 0.500 0.500 0.500

Computed properties:
DFT formation energy: 0.245 eV per atom
Excess energy over the best structure of this formula in the dataset: 459 meV per atom



The following is a DFT calculation (PBE-GGA) of a relaxed structure of LaTb4Er2.

Cell lengths 7.082, 8.622, 8.852 Å; angles 114.67, 101.31, 101.72 degrees
Fractional positions:
La 0.000 0.000 0.000
La 0.301 0.671 0.547
Tb 0.024 0.828 0.279
Tb 0.107 0.555 0.874
Tb 0.387 0.404 0.138
Tb 0.412 0.230 0.416
Tb 0.501 0.002 0.002
Tb 0.608 0.555 0.872
Tb 0.705 0.117 0.704
Tb 0.908 0.233 0.416
Er 0.207 0.123 0.707
Er 0.524 0.825 0.274
Er 0.799 0.668 0.537
Er 0.882 0.405 0.136

Computed properties:
DFT formation energy: 0.042 eV per atom



The following is a DFT calculation (PBE-GGA) of a relaxed structure of CrCdRh.

Cell lengths 5.308, 5.308, 5.308 Å; angles 147.21, 142.74, 50.46 degrees
Fractional positions:
Cr 0.000 0.000 0.000
Cd 0.309 0.309 0.000
Rh 0.619 0.619 0.000

Computed properties:
DFT formation energy: 0.111 eV per atom
Excess energy over the best structure of this formula in the dataset: 95 meV per atom



The following is a DFT calculation (PBE-GGA) of a relaxed structure of Pm3GeRh8.

Cell lengths 9.266, 9.266, 9.266 Å; angles 33.73, 33.73, 33.73 degrees
Fractional positions:
Pm 0.000 0.000 0.000
Pm 0.131 0.131 0.131
Pm 0.611 0.611 0.611
Ge 0.477 0.477 0.477
Rh 0.061 0.564 0.564
Rh 0.062 0.062 0.563
Rh 0.062 0.563 0.062
Rh 0.313 0.313 0.313
Rh 0.563 0.062 0.062
Rh 0.564 0.061 0.564
Rh 0.564 0.564 0.061
Rh 0.814 0.814 0.814

Computed properties:
DFT formation energy: -0.534 eV per atom



The following is a DFT calculation (PBE-GGA) of a relaxed structure of Pm2Sn2O7.

Cell lengths 7.541, 7.541, 7.541 Å; angles 60.00, 60.00, 60.00 degrees
Fractional positions:
Pm 0.000 0.000 0.000
Pm 0.000 0.000 0.500
Pm 0.000 0.500 0.000
Pm 0.500 0.000 0.000
Sn 0.000 0.500 0.500
Sn 0.500 0.000 0.500
Sn 0.500 0.500 0.000
Sn 0.500 0.500 0.500
O 0.125 0.125 0.125
O 0.165 0.165 0.585
O 0.165 0.585 0.165
O 0.165 0.585 0.585
O 0.415 0.415 0.835
O 0.415 0.835 0.415
O 0.415 0.835 0.835
O 0.585 0.165 0.165
O 0.585 0.165 0.585
O 0.585 0.585 0.165
O 0.835 0.415 0.415
O 0.835 0.415 0.835
O 0.835 0.835 0.415
O 0.875 0.875 0.875

Computed properties:
E_form (uncorrected): -2.5491 eV/atom



| no. | V (Å³ per cell) | size of the total moment (μB per cell) | total energy (eV/atom) |
| --- | --- | --- | --- |
| 1 | 270 | 2.03 | -4.173 |
| 2 | 454 | 0.00 | -5.161 |
| 3 | 159 | 0.00 | -5.293 |
| 4 | 91 | 7.19 | -8.283 |
| 5 | 139 | 0.00 | -4.794 |
| 6 | 47 | 0.00 | -4.154 |
| 7 | 113 | 0.26 | -3.672 |
| 8 | 136 | 0.00 | -4.502 |
| 9 | 456 | 0.00 | -4.612 |
| 10 | 49 | 2.78 | -5.852 |
| 11 | 219 | 0.00 | -7.007 |
| 12 | 303 | 0.00 | -7.296 |